{"formula": "ErHfHg", "functional": "PBE", "state": "relaxed", "cell": [[0.000, 3.446, 3.446], [3.446, 0.000, 3.446], [3.446, 3.446, 0.000]], "species": ["Hg", "Er", "Hf"], "fractional_positions": [[0.000, 0.000, 0.000], [0.250, 0.250, 0.250], [0.750, 0.750, 0.750]], "dft_energy_ev_per_atom": -4.6779, "ef_ev_per_fu": 0.8, "spacegroup": "F-43m (216)"}